BaAc3Sn2 | PBE-GGA | optimized geometry

Computed properties:
Raw total energy = -4.138 eV per atom
Formation energy from the elements = -0.429 eV per atom

The structure in extended XYZ format:
```
12
Lattice="5.092 0.000 0.000 -2.546 11.258 -0.632 0.000 -5.712 8.858" Properties=species:S:1:pos:R:3 pbc="T T T"
Ba 2.546 3.550 7.494
Ba 0.000 1.997 0.731
Ac 0.000 4.084 3.986
Ac 2.546 6.750 4.656
Ac 2.546 -1.361 7.070
Ac 0.000 6.908 1.156
Ac 0.000 -1.203 3.570
Ac 2.546 1.463 4.240
Sn 0.000 6.230 6.815
Sn 2.546 -0.684 1.411
Sn 2.546 4.620 1.735
Sn 0.000 0.926 6.490
```